(1)
# PBE SrTb2Hg7, optimized geometry
# * ΔH_f (0 K): -0.316 eV/atom
# * ρ: 10.868 g cm⁻³
data_SrTb2Hg7
_chemical_formula_sum 'Sr1 Tb2 Hg7'
_cell_length_a 5.1247
_cell_length_b 5.1247
_cell_length_c 12.1564
_cell_angle_alpha 90.00
_cell_angle_beta 90.00
_cell_angle_gamma 120.00
_space_group_name_H-M_alt 'P 3 m 1'
_space_group_IT_number 156
loop_
_space_group_symop_operation_xyz
'x,y,z'
'-y,x-y,z'
'-x+y,-x,z'
'-y,-x,z'
'-x+y,y,z'
'x,x-y,z'
loop_
_atom_site_label
_atom_site_type_symbol
_atom_site_fract_x
_atom_site_fract_y
_atom_site_fract_z
Sr1 Sr 0.0000 0.0000 0.0000
Tb1 Tb 0.3333 0.6667 0.6495
Tb2 Tb 0.6667 0.3333 0.4501
Hg1 Hg 0.0000 0.0000 0.3085
Hg2 Hg 0.0000 0.0000 0.5766
Hg3 Hg 0.3333 0.6667 0.1381
Hg4 Hg 0.3333 0.6667 0.3893
Hg5 Hg 0.3333 0.6667 0.8895
Hg6 Hg 0.6667 0.3333 0.1789
Hg7 Hg 0.6667 0.3333 0.7652

=====

(2)
# PBE SrTb5Hg6, optimized geometry
# * ΔH_f (0 K): -0.476 eV/atom
# * ρ: 10.727 g cm⁻³
data_SrTb5Hg6
_chemical_formula_sum 'Sr1 Tb5 Hg6'
_cell_length_a 5.3311
_cell_length_b 7.5572
_cell_length_c 8.4407
_cell_angle_alpha 90.00
_cell_angle_beta 108.30
_cell_angle_gamma 90.00
_space_group_name_H-M_alt 'P 1 2/m 1'
_space_group_IT_number 10
loop_
_space_group_symop_operation_xyz
'x,y,z'
'-x,-y,-z'
'-x,y,-z'
'x,-y,z'
loop_
_atom_site_label
_atom_site_type_symbol
_atom_site_fract_x
_atom_site_fract_y
_atom_site_fract_z
Sr1 Sr 0.0000 0.0000 0.0000
Tb1 Tb 0.0000 0.5000 0.0000
Tb2 Tb 0.3338 0.0000 0.6656
Tb3 Tb 0.3372 0.5000 0.6724
Hg1 Hg 0.1709 0.2583 0.3443
Hg2 Hg 0.5000 0.2637 0.0000

=====

(3)
# PBE Sr3TbHg12, optimized geometry
# * ΔH_f (0 K): -0.364 eV/atom
# * ρ: 10.623 g cm⁻³
data_Sr3TbHg12
_chemical_formula_sum 'Sr3 Tb1 Hg12'
_cell_length_a 4.8044
_cell_length_b 4.8044
_cell_length_c 19.1570
_cell_angle_alpha 90.00
_cell_angle_beta 90.00
_cell_angle_gamma 90.00
_space_group_name_H-M_alt 'P 4/m m m'
_space_group_IT_number 123
_space_group_name_Hall '-P 4 2'
loop_
_atom_site_label
_atom_site_type_symbol
_atom_site_fract_x
_atom_site_fract_y
_atom_site_fract_z
Sr1 Sr 0.0000 0.0000 0.0000
Sr2 Sr 0.0000 0.0000 0.2560
Tb1 Tb 0.0000 0.0000 0.5000
Hg1 Hg 0.0000 0.5000 0.1280
Hg2 Hg 0.0000 0.5000 0.3857
Hg3 Hg 0.5000 0.5000 0.0000
Hg4 Hg 0.5000 0.5000 0.2581
Hg5 Hg 0.5000 0.5000 0.5000

=====

(4)
# PBE SrTb2Hg3, optimized geometry
# * ΔH_f (0 K): -0.501 eV/atom
# * ρ: 10.004 g cm⁻³
data_SrTb2Hg3
_chemical_formula_sum 'Sr1 Tb2 Hg3'
_cell_length_a 3.7997
_cell_length_b 3.7997
_cell_length_c 11.5798
_cell_angle_alpha 90.00
_cell_angle_beta 90.00
_cell_angle_gamma 90.00
_space_group_name_H-M_alt 'P 4/m m m'
_space_group_IT_number 123
_space_group_name_Hall '-P 4 2'
loop_
_atom_site_label
_atom_site_type_symbol
_atom_site_fract_x
_atom_site_fract_y
_atom_site_fract_z
Sr1 Sr 0.0000 0.0000 0.0000
Tb1 Tb 0.0000 0.0000 0.3411
Hg1 Hg 0.5000 0.5000 0.1910
Hg2 Hg 0.5000 0.5000 0.5000